A relaxed structure of RbW2O. Source: the Alexandria database, functional GGA+U.

As for the uncorrected energy: -4.53 eV per atom. For the magnetization, the calculation gives 8.965 μB/f.u. The density of states at the Fermi level comes out at 1.01 states/eV/f.u. Its calculated volume is 1027.7 Å³ per cell.

Unit cell a=10.0914 b=10.0914 c=10.0914 alpha=90.00 beta=90.00 gamma=90.00
Space group Fd-3m (No. 227, origin choice 2)
One atom of each set of equivalent atoms:
1 Rb 0.1250 0.1250 0.1250 [8 per cell]
2 W 0.0000 0.0000 0.5000 [16 per cell]
3 O 0.1250 0.1250 0.6250 [8 per cell]